1.
## Pa2NbAl2Ru5 (PBE)

Data for an optimized crystal structure of Pa2NbAl2Ru5.

Cell: 10.0307 10.0307 3.4010 Å, 90.00 90.00 90.00°
Space group P4/mbm (No. 127)
Symmetry-distinct sites (fractional):
Pa1 0.1740 0.3260 0.0000 [4 per cell]
Nb1 0.0000 0.0000 0.0000 [2 per cell]
Al1 0.1236 0.6236 0.0000 [4 per cell]
Ru1 0.0000 0.5000 0.5000 [2 per cell]
Ru2 0.0730 0.7962 0.5000 [8 per cell]

Calculated values
**Size of the total moment**: 0.0 μB per cell
**ΔH_f (0 K)**: -0.425 eV/atom

2.
## Cs2SnGe (PBE)

Data for an optimized crystal structure of Cs2SnGe.

Cell: 8.2552 8.0191 12.1033 Å, 90.00 111.63 90.00°
Space group P2_1/c (No. 14)
Symmetry-distinct sites (fractional):
Cs1 0.0557 0.2441 0.3896 [4 per cell]
Cs2 0.3398 0.7483 0.4594 [4 per cell]
Sn1 0.3505 0.0891 0.2129 [4 per cell]
Ge1 0.3432 0.0817 0.7110 [4 per cell]

Calculated values
**Energy relative to the lowest polymorph listed for this composition**: 0.000 eV/atom
**Size of the total moment**: 0.0 μB per cell
**ΔH_f (0 K)**: -0.147 eV/atom

3.
## KAgAu2 (PBE)

Data for an optimized crystal structure of KAgAu2.

Cell: 9.4071 2.9437 7.0328 Å, 90.00 96.20 90.00°
Space group C2/m (No. 12)
Symmetry-distinct sites (fractional):
K1 0.0000 0.0000 0.0000 [2 per cell]
Ag1 0.0000 0.5000 0.5000 [2 per cell]
Au1 0.2385 0.0000 0.6810 [4 per cell]

Calculated values
**Energy relative to the lowest polymorph listed for this composition**: 0.055 eV/atom
**Size of the total moment**: 0.0 μB per cell
**ΔH_f (0 K)**: -0.030 eV/atom

Question: Which value of size of the total moment does entry 1 give?
Answer: 0.0 μB per cell

Question: Which formula does entry 1 have?
Answer: Pa2NbAl2Ru5

Question: Look up the ΔH_f (0 K) of the third one.
Answer: -0.030 eV/atom

Question: ΔH_f (0 K) of number 3 (KAgAu2)?
Answer: -0.030 eV/atom